[1]
RbLi7Ni2O6 | PBEsol | optimized geometry

Uncorrected energy (eV for the cell shown): -82.1
Crystal system: monoclinic
Space group: C2/m
Spin magnetization (μB/atom): 0.250
Formation energy (no corrections) (eV per atom): -1.466
Mass density (Mg/m³): 3.3

Cell and atoms, written as POSCAR:
```
RbLi7Ni2O6
1.0
4.914 -1.838 0.000
4.914 1.838 0.000
-0.429 0.000 9.788
Rb Li Ni O
1 7 2 6
Direct
0.000 0.000 0.000 Rb
0.169 0.169 0.268 Li
0.242 0.242 0.588 Li
0.266 0.266 0.899 Li
0.500 0.500 0.500 Li
0.734 0.734 0.101 Li
0.758 0.758 0.412 Li
0.831 0.831 0.732 Li
0.423 0.423 0.253 Ni
0.577 0.577 0.747 Ni
0.304 0.304 0.106 O
0.328 0.328 0.411 O
0.392 0.392 0.742 O
0.608 0.608 0.258 O
0.672 0.672 0.589 O
0.696 0.696 0.894 O
```

=====

[2]
Li3Ni2SbO6 | PBEsol | optimized geometry

Uncorrected energy (eV for the cell shown): -70.8
Crystal system: monoclinic
Space group: C2/m
Spin magnetization (μB/atom): 0.336
Formation energy (no corrections) (eV per atom): -1.379
Mass density (Mg/m³): 5.2

Cell and atoms, written as POSCAR:
```
Li3Ni2SbO6
1.0
6.286 -1.516 0.000
6.286 1.516 0.000
-1.317 0.000 5.919
Li Ni Sb O
3 2 1 6
Direct
0.000 0.000 0.000 Li
0.321 0.321 0.699 Li
0.679 0.679 0.301 Li
0.330 0.330 0.149 Ni
0.670 0.670 0.851 Ni
0.000 0.000 0.500 Sb
0.158 0.158 0.593 O
0.166 0.166 0.068 O
0.496 0.496 0.727 O
0.504 0.504 0.273 O
0.834 0.834 0.932 O
0.842 0.842 0.407 O
```

=====

[3]
Li4Ni5Sb3O16 | PBEsol | optimized geometry

Uncorrected energy (eV for the cell shown): -172.4
Crystal system: monoclinic
Space group: Cm
Spin magnetization (μB/atom): 0.037
Formation energy (no corrections) (eV per atom): -1.289
Mass density (Mg/m³): 5.5

Cell and atoms, written as POSCAR:
```
Li4Ni5Sb3O16
1.0
5.101 -2.988 0.000
5.101 2.988 0.000
-0.214 0.000 9.313
Li Ni Sb O
4 5 3 16
Direct
0.000 0.000 0.000 Li
0.324 0.324 0.456 Li
0.549 0.549 0.573 Li
0.640 0.640 0.107 Li
0.016 0.016 0.589 Ni
0.324 0.832 0.320 Ni
0.333 0.333 0.100 Ni
0.503 0.503 0.827 Ni
0.832 0.324 0.320 Ni
0.008 0.506 0.812 Sb
0.506 0.008 0.812 Sb
0.831 0.831 0.322 Sb
0.143 0.143 0.434 O
0.158 0.701 0.444 O
0.185 0.185 0.939 O
0.186 0.630 0.949 O
0.337 0.337 0.694 O
0.347 0.830 0.704 O
0.494 0.979 0.208 O
0.495 0.495 0.218 O
0.630 0.186 0.949 O
0.659 0.659 0.421 O
0.677 0.677 0.923 O
0.701 0.158 0.444 O
0.830 0.347 0.704 O
0.842 0.842 0.704 O
0.979 0.494 0.208 O
0.996 0.996 0.210 O
```

=====

[4]
Li3Ni3SbO8 | PBEsol | optimized geometry

Uncorrected energy (eV for the cell shown): -90.3
Crystal system: trigonal
Space group: R-3m
Spin magnetization (μB/atom): 0.267
Formation energy (no corrections) (eV per atom): -1.294
Mass density (Mg/m³): 5.1

Cell and atoms, written as POSCAR:
```
Li3Ni3SbO8
1.0
2.930 1.691 4.853
-2.930 1.691 4.853
0.000 -3.383 4.853
Li Ni Sb O
3 3 1 8
Direct
0.000 0.500 0.500 Li
0.500 0.000 0.500 Li
0.500 0.500 0.000 Li
0.000 0.000 0.500 Ni
0.000 0.500 0.000 Ni
0.500 0.000 0.000 Ni
0.500 0.500 0.500 Sb
0.230 0.230 0.230 O
0.252 0.739 0.739 O
0.261 0.261 0.748 O
0.261 0.748 0.261 O
0.739 0.252 0.739 O
0.739 0.739 0.252 O
0.748 0.261 0.261 O
0.770 0.770 0.770 O
```